PrSmSc6: optimized geometry, GGA-PBE.

Values from the calculation:
calculated volume: 27.10 A^3/atom
E_tot: -47.16 eV per cell
ΔH_f (0 K): 0.041 eV/atom
total magnetization: 0.65 μB/cell

```
data_PrSmSc6
_chemical_formula_sum 'Pr1 Sm1 Sc6'
_symmetry_space_group_name_H-M 'P 1'
_symmetry_Int_Tables_number 1
_symmetry_space_group_name_Hall 'P 1'
_cell_length_a 6.8308
_cell_length_b 6.8308
_cell_length_c 5.3638
_cell_angle_alpha 90.00
_cell_angle_beta 90.00
_cell_angle_gamma 120.00
loop_
_atom_site_label
_atom_site_fract_x
_atom_site_fract_y
_atom_site_fract_z
Pr1 0.0000 0.0000 0.0000
Sm1 0.3333 0.6667 0.5000
Sc1 0.3441 0.1721 0.5000
Sc2 0.5049 0.0098 0.0000
Sc3 0.5049 0.4951 0.0000
Sc4 0.8279 0.1721 0.5000
Sc5 0.8279 0.6559 0.5000
Sc6 0.9902 0.4951 0.0000
```